{"formula": "LaGdZnPt", "functional": "PBE", "state": "optimized geometry", "energy_ev_per_atom": -7.285, "dos_at_fermi_per_ev_cell": 3.464, "e_form_ev_per_atom": -0.7045, "cell": [[0.0000, 3.6373, 3.6373], [3.6373, 0.0000, 3.6373], [3.6373, 3.6373, 0.0000]], "species": ["La", "Gd", "Zn", "Pt"], "frac_coords": [[0.0000, 0.0000, 0.0000], [0.5000, 0.5000, 0.5000], [0.7500, 0.7500, 0.7500], [0.2500, 0.2500, 0.2500]]}



{"formula": "Rb3Hg2F9", "functional": "PBE", "state": "optimized geometry", "energy_ev_per_atom": -3.312, "dos_at_fermi_per_ev_cell": 5.256, "e_form_raw_ev_per_atom": -1.86, "cell": [[6.3057, 0.0000, 0.0000], [-3.1529, 5.4609, 0.0000], [0.0000, 0.0000, 8.0388]], "species": ["Rb", "Rb", "Rb", "Hg", "Hg", "F", "F", "F", "F", "F", "F", "F", "F", "F"], "frac_coords": [[0.0000, 0.0000, 0.0000], [0.3333, 0.6667, 0.3735], [0.6667, 0.3333, 0.6265], [0.3333, 0.6667, 0.8377], [0.6667, 0.3333, 0.1623], [0.0000, 0.5000, 0.0000], [0.1698, 0.3396, 0.6885], [0.1698, 0.8302, 0.6885], [0.3396, 0.1698, 0.3115], [0.5000, 0.0000, 0.0000], [0.5000, 0.5000, 0.0000], [0.6604, 0.8302, 0.6885], [0.8302, 0.1698, 0.3115], [0.8302, 0.6604, 0.3115]]}



{"formula": "AlHgPd6", "functional": "PBE", "state": "optimized geometry", "energy_ev_per_atom": -4.753, "dos_at_fermi_per_ev_cell": 10.374, "e_form_ev_per_atom": -0.3526, "cell": [[3.9824, 0.0000, 0.0000], [0.0000, 3.9824, 0.0000], [0.0000, 0.0000, 7.9673]], "species": ["Al", "Hg", "Pd", "Pd", "Pd", "Pd", "Pd", "Pd"], "frac_coords": [[0.0000, 0.0000, 0.0000], [0.0000, 0.0000, 0.5000], [0.0000, 0.5000, 0.2340], [0.0000, 0.5000, 0.7660], [0.5000, 0.0000, 0.2340], [0.5000, 0.0000, 0.7660], [0.5000, 0.5000, 0.0000], [0.5000, 0.5000, 0.5000]]}